# 1
A plane-wave DFT calculation with GGA-PBE was carried out for a relaxed structure of KLa2Fe.

Structure (CIF):
```
data_KLa2Fe
_chemical_formula_sum 'K2 La4 Fe2'
_cell_length_a 4.673
_cell_length_b 4.673
_cell_length_c 11.305
_cell_angle_alpha 90.00
_cell_angle_beta 90.00
_cell_angle_gamma 90.00
_symmetry_space_group_name_H-M 'I -4 m 2'
_symmetry_Int_Tables_number 119
_symmetry_space_group_name_Hall 'I -4 -2'
loop_
_atom_site_label
_atom_site_fract_x
_atom_site_fract_y
_atom_site_fract_z
K1 0.000 0.000 0.000
La1 0.000 0.000 0.500
La2 0.000 0.500 0.750
Fe1 0.000 0.500 0.250
```

Summary:
size of the total moment = 1.8 μB per formula unit
ΔE_f = 0.80 eV per atom
electronic total energy = -4.06 eV/atom
energy relative to the lowest polymorph listed for this composition = 636.2 meV per atom

# 2
A plane-wave DFT calculation with GGA-PBE was carried out for a relaxed structure of AlTc2Hg.

Structure (CIF):
```
data_AlTc2Hg
_chemical_formula_sum 'Al1 Tc2 Hg1'
_cell_length_a 2.937
_cell_length_b 3.934
_cell_length_c 5.736
_cell_angle_alpha 90.00
_cell_angle_beta 90.00
_cell_angle_gamma 90.00
_symmetry_space_group_name_H-M 'P m m m'
_symmetry_Int_Tables_number 47
_symmetry_space_group_name_Hall '-P 2 2'
loop_
_atom_site_label
_atom_site_fract_x
_atom_site_fract_y
_atom_site_fract_z
Al1 0.000 0.000 0.000
Tc1 0.500 0.500 0.202
Hg1 0.000 0.000 0.500
```

Summary:
size of the total moment = 0.0 μB per formula unit
ΔE_f = 0.24 eV per atom
electronic total energy = -5.96 eV/atom
energy relative to the lowest polymorph listed for this composition = 218.6 meV per atom